1.
CsGdEr: relaxed, PBE-GGA.

Results
As for the energy above the most stable polymorph in this dataset: 0.013 eV per atom.

Lattice parameters (Å, degrees): 7.8398 7.8398 7.8398 90.00 90.00 90.00
Space group F-43m (No. 216)
Unique sites:
Cs1 0.0000 0.0000 0.0000 x4
Gd1 0.2500 0.2500 0.7500 x4
Er1 0.2500 0.2500 0.2500 x4

***

2.
Cs2GdErO4: relaxed, PBE-GGA.

Results
As for the raw total energy: -51.7 eV per cell.

Lattice parameters (Å, degrees): 3.5317 3.5317 13.5617 90.00 90.00 120.00
Space group P-3m1 (No. 164)
Unique sites:
Cs1 0.3333 0.6667 0.2496 x2
Gd1 0.0000 0.0000 0.5000 x1
Er1 0.0000 0.0000 0.0000 x1
O1 0.3333 0.6667 0.5854 x2
O2 0.3333 0.6667 0.9186 x2

***

3.
Cs2GdErTe4: relaxed, PBE-GGA.

Results
As for the raw total energy: -34.6 eV per cell.

Lattice parameters (Å, degrees): 4.5481 4.5481 17.8088 90.00 90.00 120.00
Space group P-3m1 (No. 164)
Unique sites:
Cs1 0.3333 0.6667 0.2487 x2
Gd1 0.0000 0.0000 0.5000 x1
Er1 0.0000 0.0000 0.0000 x1
Te1 0.3333 0.6667 0.5970 x2
Te2 0.3333 0.6667 0.9061 x2

***

4.
CsEr4Ge2: relaxed, PBE-GGA.

Results
As for the raw total energy: -54.8 eV per cell.

Lattice parameters (Å, degrees): 7.6748 7.6748 6.5530 90.00 90.00 90.00
Space group I4/mmm (No. 139)
Unique sites:
Cs1 0.0000 0.0000 0.0000 x2
Er1 0.2120 0.2120 0.5000 x8
Ge1 0.0000 0.5000 0.2500 x4

***

5.
CsErGeSe3: relaxed, PBE-GGA.

Results
As for the energy above the most stable polymorph in this dataset: 0.118 eV per atom.

Lattice parameters (Å, degrees): 4.1112 16.3232 11.7602 90.00 90.00 90.00
Space group Cmcm (No. 63)
Unique sites:
Cs1 0.0000 0.2211 0.2500 x4
Er1 0.0000 0.5000 0.0000 x4
Ge1 0.0000 0.0843 0.7500 x4
Se1 0.0000 0.1185 0.5202 x8
Se2 0.0000 0.4827 0.7500 x4

***

6.
CsErGeSe3: relaxed, PBE-GGA.

Results
As for the energy above the most stable polymorph in this dataset: 0.000 eV per atom.

Lattice parameters (Å, degrees): 9.2309 4.0750 11.4849 90.00 112.13 90.00
Space group P2_1/m (No. 11)
Unique sites:
Cs1 0.2268 0.2500 0.2725 x2
Er1 0.3694 0.7500 0.8463 x2
Ge1 0.1289 0.2500 0.5641 x2
Se1 0.1302 0.2500 0.7808 x2
Se2 0.3232 0.7500 0.5839 x2
Se3 0.4022 0.7500 0.1003 x2

***

7.
CsErHg: relaxed, PBE-GGA.

Results
As for the raw total energy: -15.7 eV per cell.

Lattice parameters (Å, degrees): 7.7564 7.7564 7.7564 90.00 90.00 90.00
Space group F-43m (No. 216)
Unique sites:
Cs1 0.0000 0.0000 0.0000 x4
Er1 0.2500 0.2500 0.2500 x4
Hg1 0.0000 0.0000 0.5000 x4

***

8.
CsErHgTeS2: relaxed, PBE-GGA.

Results
As for the raw total energy: -96.1 eV per cell.

Lattice parameters (Å, degrees): 4.1930 16.9995 11.3637 90.00 90.00 90.00
Space group Cmcm (No. 63)
Unique sites:
Cs1 0.0000 0.2217 0.2500 x4
Er1 0.0000 0.0000 0.0000 x4
Hg1 0.0000 0.4743 0.7500 x4
Te1 0.0000 0.0871 0.7500 x4
S1 0.0000 0.3995 0.5565 x8